The following is a PBE calculation of HgSe2 after structural relaxation, from Alexandria.

POSCAR file:
```
HgSe2
1.0
1.7606 -10.9040 0.0000
1.7606 10.9040 0.0000
0.0000 0.0000 3.7801
Hg Se
2 4
Cartesian
1.7606 6.3693 2.8351
1.7606 -6.3693 0.9450
1.7606 8.4067 0.9450
1.7606 0.8714 0.9450
1.7606 -0.8714 2.8351
1.7606 -8.4067 2.8351
```

Calculated values
* space-group type: Cmcm

***

The following is a PBE calculation of HgSe2 after structural relaxation, from Alexandria.

POSCAR file:
```
HgSe2
1.0
3.9521 -1.9867 0.0000
3.9521 1.9867 0.0000
-0.2121 0.0000 9.9081
Hg Se
2 4
Cartesian
0.1279 0.0000 2.6432
7.5642 0.0000 7.2649
2.2224 0.0000 5.9183
3.1802 0.0000 0.8853
4.5120 0.0000 9.0228
5.4697 0.0000 3.9897
```

Calculated values
* space-group type: C2/m

***

Table of M_tot (μB/f.u.), in record order: 0.00, 0.00
Table of formation energy without anion corrections (meV/atom), in record order: 255, 27
Table of mass density (g/cm³), in record order: 8.2, 7.7